1.
Density functional theory data (PBE) for a relaxed ZrGeO4F crystal.

The structure belongs to space group C2/m (No. 12); the cell edges are 9.004, 6.763 and 6.558 Å and the angles 90.00°, 103.95° and 90.00°. The inequivalent atoms are Zr at (0.209, 0.000, 0.091), Ge at (0.139, 0.500, 0.295), O at (0.061, 0.500, 0.742), O at (0.195, 0.314, 0.139), O at (0.237, 0.500, 0.561) and F at (0.014, 0.000, 0.822).

The value obtained for the total moment is 1.02 μB per formula unit. As for the formation energy from raw total energies: -2.245 eV/atom. The value obtained for the calculated volume is 13.84 Å³ per atom. The value obtained for the uncorrected energy is -7.23 eV per atom.

2.
Density functional theory data (PBE) for a relaxed Na2MgGaB crystal.

The structure belongs to space group P4/mmm (No. 123); the cell edges are 5.797, 5.797 and 3.814 Å and the angles 90.00°, 90.00° and 90.00°. The inequivalent atoms are Na at (0.000, 0.500, 0.000), Mg at (0.000, 0.000, 0.500), Ga at (0.500, 0.500, 0.000) and B at (0.500, 0.500, 0.500).

The value obtained for the total moment is 0.00 μB per formula unit. The value obtained for the calculated volume is 25.64 Å³ per atom. The value obtained for the uncorrected energy is -2.29 eV per atom.

- Which of these has the highest uncorrected energy?
  Na2MgGaB

- What is the calculated volume in the first record?
  13.84 Å³ per atom